DFT (PBE-GGA) results for an optimized crystal structure of LiAsRh4.

Unit cell a=7.272 b=7.272 c=7.272 alpha=90.00 beta=90.00 gamma=90.00
Space group F-43m (No. 216)
Symmetry-distinct sites (fractional):
Li 0.000 0.000 0.000
As 0.250 0.250 0.250
Rh 0.125 0.125 0.625

Results
The calculation puts the formation energy from the elements at 106 kJ/mol of formula units. As for the final energy: -5.812 eV/atom. As for the spin magnetization: 0.02 μB/cell. The calculated density is 8.5 g/cm³.

***

DFT (PBE-GGA) results for an optimized crystal structure of LiAsRh2.

Unit cell a=2.855 b=3.884 c=5.026 alpha=90.00 beta=90.00 gamma=90.00
Space group Pmm2 (No. 25)
Symmetry-distinct sites (fractional):
Li 0.000 0.000 0.000
As 0.500 0.500 0.708
Rh 0.000 0.000 0.503
Rh 0.500 0.500 0.201

Results
The calculation puts the formation energy from the elements at -118 kJ/mol of formula units. As for the final energy: -5.621 eV/atom. As for the spin magnetization: 0.00 μB/cell. The calculated density is 8.6 g/cm³.

***

DFT (PBE-GGA) results for an optimized crystal structure of LiAsRh2.

Unit cell a=5.614 b=8.126 c=2.828 alpha=90.00 beta=118.64 gamma=90.00
Space group C2/m (No. 12)
Symmetry-distinct sites (fractional):
Li 0.000 0.000 0.000
As 0.000 0.500 0.000
Rh 0.250 0.250 0.500

Results
The calculation puts the formation energy from the elements at -104 kJ/mol of formula units. As for the final energy: -5.585 eV/atom. As for the spin magnetization: 0.00 μB/cell. The calculated density is 8.4 g/cm³.

***

DFT (PBE-GGA) results for an optimized crystal structure of LiAsRh.

Unit cell a=3.213 b=3.213 c=8.126 alpha=90.00 beta=90.00 gamma=90.00
Space group I4mm (No. 107)
Symmetry-distinct sites (fractional):
Li 0.000 0.000 0.000
As 0.000 0.000 0.676
Rh 0.000 0.000 0.320

Results
The calculation puts the formation energy from the elements at -151 kJ/mol of formula units. As for the final energy: -5.160 eV/atom. As for the spin magnetization: 0.00 μB/cell. The calculated density is 7.3 g/cm³.

***

DFT (PBE-GGA) results for an optimized crystal structure of LiAsRh2.

Unit cell a=2.817 b=4.153 c=4.893 alpha=90.00 beta=92.73 gamma=90.00
Space group P2/m (No. 10)
Symmetry-distinct sites (fractional):
Li 0.000 0.000 0.000
As 0.500 0.000 0.500
Rh 0.280 0.500 0.748

Results
The calculation puts the formation energy from the elements at -91 kJ/mol of formula units. As for the final energy: -5.551 eV/atom. As for the spin magnetization: 0.00 μB/cell. The calculated density is 8.4 g/cm³.

***

DFT (PBE-GGA) results for an optimized crystal structure of Li2As3Rh5.

Unit cell a=3.961 b=24.674 c=6.123 alpha=90.00 beta=90.00 gamma=90.00
Space group Cmc2_1 (No. 36)
Symmetry-distinct sites (fractional):
Li 0.000 0.016 0.000
Li 0.000 0.335 0.941
As 0.000 0.106 0.217
As 0.000 0.276 0.417
As 0.000 0.458 0.219
Rh 0.000 0.095 0.625
Rh 0.000 0.203 0.156
Rh 0.000 0.206 0.688
Rh 0.000 0.374 0.453
Rh 0.000 0.446 0.827

Results
The calculation puts the formation energy from the elements at -503 kJ/mol of formula units. As for the final energy: -5.974 eV/atom. As for the spin magnetization: 0.00 μB/cell. The calculated density is 8.4 g/cm³.

***

DFT (PBE-GGA) results for an optimized crystal structure of LiAs2Rh.

Unit cell a=6.250 b=6.250 c=6.250 alpha=90.00 beta=90.00 gamma=90.00
Space group Fm-3m (No. 225)
Symmetry-distinct sites (fractional):
Li 0.000 0.000 0.000
As 0.250 0.250 0.250
Rh 0.000 0.000 0.500

Results
The calculation puts the formation energy from the elements at -154 kJ/mol of formula units. As for the final energy: -5.040 eV/atom. As for the spin magnetization: 0.00 μB/cell. Its relative energy among the computed polymorphs is 0 meV per atom. The calculated density is 7.1 g/cm³.

***

DFT (PBE-GGA) results for an optimized crystal structure of Li2AsRh.

Unit cell a=2.8174 b=2.8174 c=25.7620 alpha=90.00 beta=90.00 gamma=120.00
Space group R-3m (No. 166, hexagonal axes)
Symmetry-distinct sites (fractional):
Li 0.0000 0.0000 0.2492
As 0.0000 0.0000 0.0000
Rh 0.0000 0.0000 0.5000

Results
The calculation puts the formation energy from the elements at -60 kJ/mol of formula units. As for the final energy: -4.112 eV/atom. As for the spin magnetization: 2.00 μB/cell. The calculated density is 5.4 g/cm³.

***

DFT (PBE-GGA) results for an optimized crystal structure of Li2AsRh.

Unit cell a=4.903 b=8.034 c=2.892 alpha=90.00 beta=90.22 gamma=90.00
Space group C2/m (No. 12)
Symmetry-distinct sites (fractional):
Li 0.250 0.250 0.000
As 0.000 0.000 0.500
Rh 0.000 0.500 0.500

Results
The calculation puts the formation energy from the elements at -150 kJ/mol of formula units. As for the final energy: -4.347 eV/atom. As for the spin magnetization: 0.00 μB/cell. The calculated density is 5.6 g/cm³.

***

DFT (PBE-GGA) results for an optimized crystal structure of LiAsRh2.

Unit cell a=4.089 b=4.089 c=3.174 alpha=90.00 beta=90.00 gamma=90.00
Space group P4/mmm (No. 123)
Symmetry-distinct sites (fractional):
Li 0.000 0.000 0.000
As 0.500 0.500 0.000
Rh 0.000 0.500 0.500

Results
The calculation puts the formation energy from the elements at -174 kJ/mol of formula units. As for the final energy: -5.768 eV/atom. As for the spin magnetization: 0.00 μB/cell. The calculated density is 9.0 g/cm³.

***

DFT (PBE-GGA) results for an optimized crystal structure of Li2AsRh.

Unit cell a=3.671 b=3.671 c=8.156 alpha=90.00 beta=90.00 gamma=90.00
Space group I4/mmm (No. 139)
Symmetry-distinct sites (fractional):
Li 0.000 0.500 0.250
As 0.000 0.000 0.000
Rh 0.000 0.000 0.500

Results
The calculation puts the formation energy from the elements at -178 kJ/mol of formula units. As for the final energy: -4.419 eV/atom. As for the spin magnetization: 0.00 μB/cell. The calculated density is 5.8 g/cm³.

***

DFT (PBE-GGA) results for an optimized crystal structure of Li2AsRh.

Unit cell a=3.650 b=3.650 c=18.143 alpha=90.00 beta=90.00 gamma=90.00
Space group I-42d (No. 122)
Symmetry-distinct sites (fractional):
Li 0.247 0.250 0.125
As 0.000 0.000 0.000
Rh 0.000 0.000 0.500

Results
The calculation puts the formation energy from the elements at -99 kJ/mol of formula units. As for the final energy: -4.215 eV/atom. As for the spin magnetization: 0.00 μB/cell. The calculated density is 5.3 g/cm³.

***

DFT (PBE-GGA) results for an optimized crystal structure of LiAs2Rh.

Unit cell a=3.794 b=3.794 c=8.495 alpha=90.00 beta=90.00 gamma=90.00
Space group I-4m2 (No. 119)
Symmetry-distinct sites (fractional):
Li 0.000 0.000 0.000
As 0.000 0.000 0.500
As 0.000 0.500 0.250
Rh 0.000 0.500 0.750

Results
The calculation puts the formation energy from the elements at -100 kJ/mol of formula units. As for the final energy: -4.899 eV/atom. As for the spin magnetization: 0.00 μB/cell. Its relative energy among the computed polymorphs is 141 meV per atom. The calculated density is 7.1 g/cm³.

***

DFT (PBE-GGA) results for an optimized crystal structure of LiAs2Rh.

Unit cell a=3.2030 b=3.2030 c=22.9097 alpha=90.00 beta=90.00 gamma=120.00
Space group R-3m (No. 166, hexagonal axes)
Symmetry-distinct sites (fractional):
Li 0.0000 0.0000 0.0000
As 0.0000 0.0000 0.2428
Rh 0.0000 0.0000 0.5000

Results
The calculation puts the formation energy from the elements at -125 kJ/mol of formula units. As for the final energy: -4.966 eV/atom. As for the spin magnetization: 0.00 μB/cell. Its relative energy among the computed polymorphs is 74 meV per atom. The calculated density is 6.4 g/cm³.

***

DFT (PBE-GGA) results for an optimized crystal structure of LiAsRh.

Unit cell a=4.1817 b=4.1817 c=2.9755 alpha=90.00 beta=90.00 gamma=120.00
Space group P-6m2 (No. 187)
Symmetry-distinct sites (fractional):
Li 0.0000 0.0000 0.0000
As 0.3333 0.6667 0.5000
Rh 0.6667 0.3333 0.5000

Results
The calculation puts the formation energy from the elements at -147 kJ/mol of formula units. As for the final energy: -5.145 eV/atom. As for the spin magnetization: 0.00 μB/cell. The calculated density is 6.8 g/cm³.